Record 1
# PBE La2MgTl, relaxed
data_La2MgTl
_chemical_formula_sum 'La4 Mg2 Tl2'
_symmetry_space_group_name_H-M 'C 1 m 1'
_symmetry_Int_Tables_number 8
_cell_length_a 12.529
_cell_length_b 3.946
_cell_length_c 5.518
_cell_angle_alpha 90.00
_cell_angle_beta 116.00
_cell_angle_gamma 90.00
loop_
_symmetry_equiv_pos_as_xyz
'x,y,z'
'x,-y,z'
'x+1/2,y+1/2,z'
'x+1/2,-y+1/2,z'
loop_
_atom_site_label
_atom_site_type_symbol
_atom_site_fract_x
_atom_site_fract_y
_atom_site_fract_z
_atom_site_occupancy
La1 La 0.000 0.000 0.000 1
La2 La 0.230 0.000 0.731 1
Mg1 Mg 0.268 0.500 0.268 1
Tl1 Tl 0.465 0.000 0.466 1
# E_form: -242 meV/atom

Record 2
# PBE CaGdY, relaxed
data_CaGdY
_chemical_formula_sum 'Ca1 Gd1 Y1'
_symmetry_space_group_name_H-M 'P 3 m 1'
_symmetry_Int_Tables_number 156
_cell_length_a 3.6534
_cell_length_b 3.6534
_cell_length_c 9.1131
_cell_angle_alpha 90.00
_cell_angle_beta 90.00
_cell_angle_gamma 120.00
loop_
_symmetry_equiv_pos_as_xyz
'x,y,z'
'-y,x-y,z'
'-x+y,-x,z'
'-y,-x,z'
'-x+y,y,z'
'x,x-y,z'
loop_
_atom_site_label
_atom_site_type_symbol
_atom_site_fract_x
_atom_site_fract_y
_atom_site_fract_z
_atom_site_occupancy
Ca1 Ca 0.0000 0.0000 0.0000 1
Gd1 Gd 0.6667 0.3333 0.3497 1
Y1 Y 0.3333 0.6667 0.6559 1
# E_form: 63 meV/atom

Record 3
# PBE GdYSnRu, relaxed
data_GdYSnRu
_chemical_formula_sum 'Gd4 Y4 Sn4 Ru4'
_symmetry_space_group_name_H-M 'F -4 3 m'
_symmetry_Int_Tables_number 216
_symmetry_space_group_name_Hall 'F -4 2 3'
_cell_length_a 7.212
_cell_length_b 7.212
_cell_length_c 7.212
_cell_angle_alpha 90.00
_cell_angle_beta 90.00
_cell_angle_gamma 90.00
loop_
_atom_site_label
_atom_site_type_symbol
_atom_site_fract_x
_atom_site_fract_y
_atom_site_fract_z
_atom_site_occupancy
Gd1 Gd 0.000 0.000 0.000 1
Y1 Y 0.000 0.000 0.500 1
Sn1 Sn 0.250 0.250 0.250 1
Ru1 Ru 0.250 0.250 0.750 1
# E_form: -401 meV/atom

> Which value of E_form does entry 2 give?

63 meV/atom